## AsRuO2 (PBE-GGA)

Data for a relaxed AsRuO2 crystal.

Cell: 7.276 7.276 7.276 Å, 22.12 22.12 22.12°
Element x y z (fractional)
O: 0.912 0.912 0.912
O: 0.088 0.088 0.088
As: 0.500 0.500 0.500
Ru: 0.000 0.000 0.000

Properties
Formation energy without anion corrections ... -0.1276 eV/atom
Crystal system ... trigonal
SG ... R-3m

## Pu2ThTe4 (PBE-GGA)

Data for a relaxed Pu2ThTe4 crystal.

Cell: 4.457 8.646 7.757 Å, 63.28 90.00 75.06°
Each line ends with the local moment (μB).
Element x y z (fractional)
Pu: 0.743 0.515 0.733  5.47
Pu: 0.257 0.485 0.267  5.47
Te: 0.122 0.756 0.449  -0.08
Te: 0.370 0.260 0.030  -0.06
Te: 0.878 0.244 0.551  -0.08
Te: 0.630 0.740 0.970  -0.06
Th: 0.000 0.000 0.000  0.19

Properties
Formation energy without anion corrections ... -1.0351 eV/atom
Crystal system ... monoclinic
SG ... C2/m
Excess energy over the best structure of this formula in the dataset ... 0.026 eV/atom

## Sc2Al2Cu15 (PBE-GGA)

Data for a relaxed Sc2Al2Cu15 crystal.

Cell: 6.432 6.432 6.432 Å, 82.11 82.11 82.11°
Element x y z (fractional)
Cu: 0.000 0.698 0.302
Cu: 0.155 0.649 0.649
Cu: 0.649 0.649 0.155
Cu: 0.351 0.351 0.845
Cu: 0.000 0.000 0.500
Cu: 0.649 0.155 0.649
Cu: 0.698 0.302 0.000
Cu: 0.500 0.000 0.000
Cu: 0.000 0.302 0.698
Cu: 0.698 0.000 0.302
Cu: 0.000 0.500 0.000
Cu: 0.845 0.351 0.351
Cu: 0.351 0.845 0.351
Cu: 0.302 0.000 0.698
Cu: 0.302 0.698 0.000
Al: 0.894 0.894 0.894
Al: 0.106 0.106 0.106
Sc: 0.352 0.352 0.352
Sc: 0.648 0.648 0.648

Properties
Energy relative to the elements ... -136.6 meV per atom
Crystal system ... trigonal
SG ... R-3m

## NaGe3P (PBE-GGA)

Data for a relaxed NaGe3P crystal.

Cell: 4.987 4.987 4.987 Å, 90.00 90.00 90.00°
Element x y z (fractional)
Na: 0.000 0.000 0.000
Ge: 0.000 0.500 0.000
Ge: 0.000 0.000 0.500
Ge: 0.500 0.000 0.000
P: 0.500 0.500 0.500

Properties
Energy relative to the elements ... 1281.4 meV per atom
Crystal system ... cubic
SG ... Pm-3m
Excess energy over the best structure of this formula in the dataset ... 0.842 eV/atom

## Cd6InAu10 (PBE-GGA)

Data for a relaxed Cd6InAu10 crystal.

Cell: 5.715 8.245 8.245 Å, 120.00 90.00 90.00°
Element x y z (fractional)
Cd: 0.299 0.625 0.625
Cd: 0.701 0.625 0.000
Cd: 0.701 0.375 0.375
Cd: 0.299 0.000 0.375
Cd: 0.299 0.375 0.000
Cd: 0.701 0.000 0.625
Au: 0.820 0.276 0.000
Au: 0.000 0.667 0.333
Au: 0.820 0.724 0.724
Au: 0.500 0.333 0.667
Au: 0.180 0.276 0.276
Au: 0.180 0.724 0.000
Au: 0.180 0.000 0.724
Au: 0.500 0.667 0.333
Au: 0.820 0.000 0.276
Au: 0.000 0.333 0.667
In: 0.500 0.000 0.000

Properties
Energy relative to the elements ... -116.4 meV per atom
Crystal system ... trigonal
SG ... P-31m

Question: Number 1 is which compound?
Answer: AsRuO2

Repeat the third record exactly.
## Sc2Al2Cu15 (PBE-GGA)

Data for a relaxed Sc2Al2Cu15 crystal.

Cell: 6.432 6.432 6.432 Å, 82.11 82.11 82.11°
Element x y z (fractional)
Cu: 0.000 0.698 0.302
Cu: 0.155 0.649 0.649
Cu: 0.649 0.649 0.155
Cu: 0.351 0.351 0.845
Cu: 0.000 0.000 0.500
Cu: 0.649 0.155 0.649
Cu: 0.698 0.302 0.000
Cu: 0.500 0.000 0.000
Cu: 0.000 0.302 0.698
Cu: 0.698 0.000 0.302
Cu: 0.000 0.500 0.000
Cu: 0.845 0.351 0.351
Cu: 0.351 0.845 0.351
Cu: 0.302 0.000 0.698
Cu: 0.302 0.698 0.000
Al: 0.894 0.894 0.894
Al: 0.106 0.106 0.106
Sc: 0.352 0.352 0.352
Sc: 0.648 0.648 0.648

Properties
Energy relative to the elements ... -136.6 meV per atom
Crystal system ... trigonal
SG ... R-3m